1.
Material: Al3Zn4Ga4
Method: DFT, PBE
State: optimized geometry

Cell lengths 2.816, 7.351, 10.268 Å; angles 113.56, 99.75, 95.95 degrees
Atoms (fractional coordinates):
Ga1 0.531 0.615 0.643
Ga2 0.738 0.685 0.274
Ga3 0.469 0.385 0.357
Ga4 0.262 0.315 0.726
Zn1 0.537 0.224 0.078
Zn2 0.960 0.118 0.435
Zn3 0.040 0.882 0.565
Zn4 0.463 0.776 0.922
Al1 0.776 0.048 0.822
Al2 0.000 0.500 0.000
Al3 0.224 0.952 0.178

- crystal system = triclinic
- Fermi-level density of states (states/eV/atom) = 0.2373

2.
Material: CrPt6W
Method: DFT, PBE
State: optimized geometry

Cell lengths 3.955, 3.955, 7.899 Å; angles 90.00, 90.00, 90.00 degrees
Each line ends with the local moment (μB).
Atoms (fractional coordinates):
W1 0.000 0.000 0.500  0.49
Pt1 0.000 0.500 0.745  0.05
Pt2 0.000 0.500 0.255  0.05
Pt3 0.500 0.500 0.500  0.04
Pt4 0.500 0.000 0.745  0.05
Pt5 0.500 0.500 0.000  0.00
Pt6 0.500 0.000 0.255  0.05
Cr1 0.000 0.000 0.000  3.27

- crystal system = tetragonal
- Fermi-level density of states (states/eV/atom) = 0.6162

3.
Material: DyScZn
Method: DFT, PBE
State: optimized geometry

Cell lengths 3.546, 4.825, 4.825 Å; angles 120.00, 90.00, 90.00 degrees
Atoms (fractional coordinates):
Dy1 0.647 0.667 0.333
Sc1 0.124 0.000 0.000
Zn1 0.229 0.333 0.667

- crystal system = trigonal
- Fermi-level density of states (states/eV/atom) = 1.3659
- offset from the most stable computed form (eV/atom) = 0.127

4.
Material: Ba3Al3Ga2
Method: DFT, PBE
State: optimized geometry

Cell lengths 5.995, 5.995, 14.726 Å; angles 90.00, 90.00, 120.00 degrees
Atoms (fractional coordinates):
Ga1 0.333 0.667 0.387
Ga2 0.667 0.333 0.887
Ga3 0.667 0.333 0.613
Ga4 0.333 0.667 0.113
Ba1 0.667 0.333 0.376
Ba2 0.000 0.000 0.500
Ba3 0.333 0.667 0.876
Ba4 0.000 0.000 0.000
Ba5 0.333 0.667 0.624
Ba6 0.667 0.333 0.124
Al1 0.842 0.685 0.750
Al2 0.842 0.158 0.750
Al3 0.315 0.158 0.750
Al4 0.158 0.842 0.250
Al5 0.685 0.842 0.250
Al6 0.158 0.315 0.250

- crystal system = hexagonal
- Fermi-level density of states (states/eV/atom) = 0.5045
- offset from the most stable computed form (eV/atom) = 0.000

Raw total energy (eV/atom)
-2.549, -7.606, -4.146, -3.227
ΔE_f (eV per atom)
0.036, -0.253, -0.076, -0.346